(1)
A geometry-optimized LiPaN structure, computed with PBE.

Spin magnetization (μB per formula unit): 0.00
E (eV/atom): -7.48
Formation energy without anion corrections (eV per atom): -0.9060
Calculated volume (A^3/atom): 15.933

Unit cell a=3.4442 b=3.4442 c=8.0589 alpha=90.00 beta=90.00 gamma=90.00
Closest atoms and distances in Å follow each position.
Fractional coordinates of all 6 atoms:
Li1 0.2500 0.2500 0.0910  1 N 2.06
Li2 0.7500 0.7500 0.9090  1 N 2.06
Pa1 0.2500 0.2500 0.6535  5 N 2.44-2.48
Pa2 0.7500 0.7500 0.3465  5 N 2.44-2.48
N1 0.2500 0.2500 0.3462  1 Li 2.06
N2 0.7500 0.7500 0.6538  1 Li 2.06

=====

(2)
A geometry-optimized LiPa2N4 structure, computed with PBE.

Spin magnetization (μB per formula unit): 0.00
E (eV/atom): -8.98
Formation energy without anion corrections (eV per atom): -1.2323
Calculated volume (A^3/atom): 13.289

Unit cell a=6.2307 b=6.2307 c=6.2307 alpha=108.53 beta=108.53 gamma=111.37
Closest atoms and distances in Å follow each position.
Fractional coordinates of all 14 atoms:
Li1 0.0000 0.0000 0.0000  4 N 2.20
Li2 0.7500 0.2500 0.5000  4 N 2.20
Pa1 0.1899 0.1250 0.5649  6 N 2.20-2.37
Pa2 0.3750 0.8101 0.9351  6 N 2.20-2.37
Pa3 0.5601 0.6250 0.4351  6 N 2.20-2.37
Pa4 0.8750 0.4399 0.0649  6 N 2.20-2.37
N1 0.0153 0.8054 0.6465  3 Pa 2.20-2.37, 1 Li 2.20
N2 0.1188 0.4089 0.8535  3 Pa 2.20-2.37, 1 Li 2.20
N3 0.1589 0.3688 0.3535  3 Pa 2.20-2.37, 1 Li 2.20
N4 0.1946 0.8411 0.2099  3 Pa 2.20-2.37, 1 Li 2.20
N5 0.5554 0.2653 0.1465  3 Pa 2.20-2.37, 1 Li 2.20
N6 0.5911 0.4446 0.7099  3 Pa 2.20-2.37, 1 Li 2.20
N7 0.6312 0.9847 0.7901  3 Pa 2.20-2.37, 1 Li 2.20
N8 0.7347 0.8812 0.2901  3 Pa 2.20-2.37, 1 Li 2.20

=====

(3)
A geometry-optimized LiPa2N4 structure, computed with PBE.

Spin magnetization (μB per formula unit): 0.00
E (eV/atom): -9.04
Formation energy without anion corrections (eV per atom): -1.2915
Calculated volume (A^3/atom): 14.764

Unit cell a=6.9235 b=6.9235 c=9.8106 alpha=119.89 beta=119.89 gamma=30.90
Closest atoms and distances in Å follow each position.
Fractional coordinates of all 14 atoms:
Li1 0.1415 0.1415 0.2017  2 N 1.99-2.00
Li2 0.8585 0.8585 0.7983  2 N 1.99-2.00
Pa1 0.1697 0.1697 0.8128  6 N 2.24-2.37
Pa2 0.3859 0.3859 0.5583  7 N 2.26-2.48
Pa3 0.6141 0.6141 0.4417  7 N 2.26-2.48
Pa4 0.8303 0.8303 0.1872  6 N 2.24-2.37
N1 0.0342 0.0342 0.2878  1 Li 2.00
N2 0.2113 0.2113 0.0649  1 Li 1.99
N3 0.2383 0.2383 0.6172  4 Pa 2.32-2.52, 2 Li 2.49
N4 0.4155 0.4155 0.3517  4 Pa 2.26-2.32
N5 0.5845 0.5845 0.6483  4 Pa 2.26-2.32
N6 0.7617 0.7617 0.3828  4 Pa 2.32-2.52, 2 Li 2.49
N7 0.7887 0.7887 0.9351  1 Li 1.99
N8 0.9658 0.9658 0.7122  1 Li 2.00